Compound: Li2BiAs
Source: Alexandria
Functional: GGA-PBE
Structure: relaxed

Computed properties:
* energy above the lowest structure with this stoichiometry: 15.7 meV/atom
* space-group type: R3m
* theoretical density: 5.49 g/cm3
* calculated total energy: -13.9 eV per cell
* formation energy: -0.373 eV per atom
* crystal system: trigonal
* DOS(E_F): 0.263 states/eV per atom

Lattice parameters (Å, degrees): 4.2322 4.2322 6.3021 70.38 70.38 60.00
Fractional coordinates of all 4 atoms:
Bi  0.5072  0.5072  0.4784
As  0.6608  0.6608  0.0175
Li  0.2816  0.2816  0.1551
Li  0.0504  0.0504  0.8489